[1]
BaTl2As2Pb after structural relaxation. Source: the Alexandria database, functional PBE.

The space group is Pmc2_1 (No. 26) and the conventional cell measures 4.914, 9.731 and 8.030 Å, with angles of 90.00, 90.00 and 90.00 degrees. The inequivalent atoms are Ba at (0.000, 0.099, 0.000), Tl at (0.000, 0.326, 0.349), Tl at (0.500, 0.439, 0.060), As at (0.000, 0.360, 0.716), As at (0.500, 0.087, 0.297) and Pb at (0.500, 0.197, 0.643).

The density of states at the Fermi level is 2.47 states/eV per cell. The calculation puts the formation energy at -344 meV per atom. The calculated volume comes out at 384 Å³ per cell. The calculation puts the total DFT energy (no corrections) at -43.46 eV per cell.

=====

[2]
BaTlAsPb after structural relaxation. Source: the Alexandria database, functional PBE.

The space group is Cm (No. 8) and the conventional cell measures 11.538, 4.319 and 5.906 Å, with angles of 90.00, 111.24 and 90.00 degrees. The inequivalent atoms are Ba at (0.000, 0.000, 0.000), Tl at (0.154, 0.500, 0.550), As at (0.267, 0.000, 0.898) and Pb at (0.351, 0.000, 0.425).

The density of states at the Fermi level is 4.53 states/eV per cell. The calculation puts the formation energy at -416 meV per atom. The calculated volume comes out at 274 Å³ per cell. The calculation puts the total DFT energy (no corrections) at -28.62 eV per cell.

=====

Which value of calculated volume does entry 1 give? 384 Å³ per cell

=====

Look up the calculated volume of the first one. 384 Å³ per cell

=====

The highest total DFT energy (no corrections) belongs to which entry? BaTlAsPb